(1)
Mn3TcAg | GGA-PBE | optimized geometry

extended XYZ file:
```
5
Lattice="4.620 0.000 0.000 0.000 4.620 0.000 0.000 0.000 4.620" Properties=species:S:1:pos:R:3 pbc="T T T"
Mn 0.000 0.000 2.310
Mn 0.000 2.310 0.000
Mn 2.310 0.000 0.000
Tc 0.000 0.000 0.000
Ag 2.310 2.310 2.310
```

Theoretical density = 6.24 g/cm³
Formation enthalpy at 0 K = 1.19 eV/atom
Calculated volume = 19.72 A^3/atom
Total DFT energy (no corrections) = -34.8 eV per formula unit
Total magnetization = 9.4 μB/cell



(2)
MnTcAg2 | GGA-PBE | optimized geometry

extended XYZ file:
```
4
Lattice="-2.092 2.092 3.680 2.092 -2.092 3.680 2.092 2.092 -3.680" Properties=species:S:1:pos:R:3 pbc="T T T"
Mn 0.000 0.000 0.000
Tc 2.092 0.000 1.840
Ag 0.000 0.000 3.680
Ag 0.000 2.092 1.840
```

Theoretical density = 9.51 g/cm³
Formation enthalpy at 0 K = 0.51 eV/atom
Calculated volume = 16.10 A^3/atom
Total DFT energy (no corrections) = -23.2 eV per formula unit
Total magnetization = 2.0 μB/cell



(3)
Mn2TcAg | GGA-PBE | optimized geometry

extended XYZ file:
```
4
Lattice="4.337 -1.367 0.000 4.337 1.367 0.000 -0.663 0.000 5.026" Properties=species:S:1:pos:R:3 pbc="T T T"
Mn 1.998 0.000 1.137
Mn 6.013 0.000 3.890
Tc 4.337 0.000 0.000
Ag -0.332 0.000 2.513
```

Theoretical density = 8.80 g/cm³
Formation enthalpy at 0 K = 0.42 eV/atom
Calculated volume = 14.90 A^3/atom
Total DFT energy (no corrections) = -29.9 eV per formula unit
Total magnetization = 6.1 μB/cell



(4)
MnTcAg2 | GGA-PBE | optimized geometry

extended XYZ file:
```
4
Lattice="3.786 0.000 0.000 0.000 3.786 0.000 0.000 0.000 4.494" Properties=species:S:1:pos:R:3 pbc="T T T"
Mn 0.000 0.000 0.000
Tc 1.893 1.893 0.000
Ag 0.000 1.893 2.247
Ag 1.893 0.000 2.247
```

Theoretical density = 9.50 g/cm³
Formation enthalpy at 0 K = 0.56 eV/atom
Calculated volume = 16.11 A^3/atom
Total DFT energy (no corrections) = -23.0 eV per formula unit
Total magnetization = 2.2 μB/cell



(5)
Mn2TcAg | GGA-PBE | optimized geometry

extended XYZ file:
```
4
Lattice="2.696 0.000 0.000 0.000 3.827 0.000 -0.265 0.000 5.602" Properties=species:S:1:pos:R:3 pbc="T T T"
Mn 0.000 0.000 0.000
Mn 1.082 1.913 4.280
Tc 1.081 1.913 1.180
Ag 2.435 0.000 2.814
```

Theoretical density = 9.07 g/cm³
Formation enthalpy at 0 K = 0.33 eV/atom
Calculated volume = 14.45 A^3/atom
Total DFT energy (no corrections) = -30.2 eV per formula unit
Total magnetization = 1.4 μB/cell



(6)
MnTc4Ag | GGA-PBE | optimized geometry

extended XYZ file:
```
6
Lattice="0.000 3.627 3.627 3.627 0.000 3.627 3.627 3.627 0.000" Properties=species:S:1:pos:R:3 pbc="T T T"
Mn 0.000 0.000 0.000
Tc 4.532 2.721 2.721
Tc 2.721 4.532 2.721
Tc 2.721 2.721 4.532
Tc 4.532 4.532 4.532
Ag 1.813 1.813 1.813
```

Theoretical density = 9.66 g/cm³
Formation enthalpy at 0 K = 0.49 eV/atom
Calculated volume = 15.90 A^3/atom
Total DFT energy (no corrections) = -50.5 eV per formula unit
Total magnetization = 2.3 μB/cell



(7)
Mn2TcAg4 | GGA-PBE | optimized geometry

extended XYZ file:
```
7
Lattice="-2.523 2.523 6.703 2.523 -2.523 6.703 2.523 2.523 -6.703" Properties=species:S:1:pos:R:3 pbc="T T T"
Mn 0.000 0.000 1.341
Mn 0.000 0.000 12.064
Tc 0.000 0.000 6.703
Ag 2.523 0.000 0.000
Ag 0.000 0.000 4.010
Ag 0.000 2.523 0.000
Ag 0.000 0.000 9.396
```

Theoretical density = 6.22 g/cm³
Formation enthalpy at 0 K = 1.25 eV/atom
Calculated volume = 24.38 A^3/atom
Total DFT energy (no corrections) = -31.4 eV per formula unit
Total magnetization = 11.7 μB/cell



(8)
MnTcAg2 | GGA-PBE | optimized geometry

extended XYZ file:
```
4
Lattice="2.752 -4.335 0.000 2.752 4.335 0.000 0.000 0.000 2.688" Properties=species:S:1:pos:R:3 pbc="T T T"
Mn 0.000 0.000 0.000
Tc 2.752 0.000 0.000
Ag 1.376 2.167 1.344
Ag 1.376 -2.167 1.344
```

Theoretical density = 9.54 g/cm³
Formation enthalpy at 0 K = 0.50 eV/atom
Calculated volume = 16.04 A^3/atom
Total DFT energy (no corrections) = -23.2 eV per formula unit
Total magnetization = 4.2 μB/cell